Entry 1:
Below is a geometry-optimized TlTe2Br structure, with properties calculated at the PBE level.

a = 7.010 Å, b = 7.010 Å, c = 7.010 Å
α = 145.35°, β = 123.57°, γ = 67.93°
Atoms (fractional coordinates):
Tl  0.423  0.423  0.000
Te  0.015  0.015  0.000
Te  0.845  0.345  0.500
Br  0.216  0.716  0.500

ΔE_f (raw) = -0.275 eV per atom
space group = Imm2
V = 160.8 Å³ per cell
calculated density = 5.6 g/cm3

---

Entry 2:
Below is a geometry-optimized Tl5Te2Br structure, with properties calculated at the PBE level.

a = 9.286 Å, b = 9.286 Å, c = 9.286 Å
α = 120.81°, β = 120.81°, γ = 88.60°
Atoms (fractional coordinates):
Tl  0.000  0.000  0.000
Tl  0.500  0.500  0.000
Tl  0.997  0.497  0.794
Tl  0.703  0.203  0.206
Tl  0.497  0.703  0.500
Tl  0.203  0.997  0.500
Tl  0.003  0.503  0.206
Tl  0.297  0.797  0.794
Tl  0.503  0.297  0.500
Tl  0.797  0.003  0.500
Te  0.344  0.844  0.188
Te  0.656  0.156  0.812
Te  0.844  0.656  0.500
Te  0.156  0.344  0.500
Br  0.750  0.750  0.000
Br  0.250  0.250  0.000

ΔE_f (raw) = -0.439 eV per atom
space group = I4/mcm
V = 559.1 Å³ per cell
calculated density = 8.1 g/cm3

---

Entry 3:
Below is a geometry-optimized TlTeBr structure, with properties calculated at the PBE level.

a = 4.248 Å, b = 8.843 Å, c = 8.821 Å
α = 70.21°, β = 76.07°, γ = 76.11°
Atoms (fractional coordinates):
Tl  0.036  0.378  0.344
Tl  0.034  0.876  0.849
Te  0.856  0.307  0.775
Te  0.215  0.448  0.915
Br  0.548  0.113  0.583
Br  0.517  0.644  0.114

ΔE_f (raw) = -0.446 eV per atom
space group = Cm
V = 298.0 Å³ per cell
calculated density = 4.6 g/cm3

---

Entry 4:
Below is a geometry-optimized TlTeBr5 structure, with properties calculated at the PBE level.

a = 7.774 Å, b = 7.774 Å, c = 11.017 Å
α = 70.25°, β = 70.25°, γ = 70.60°
Atoms (fractional coordinates):
Tl  0.517  0.483  0.250
Tl  0.483  0.517  0.750
Te  0.000  0.000  0.000
Te  0.000  0.000  0.500
Br  0.875  0.686  0.122
Br  0.212  0.643  0.500
Br  0.686  0.875  0.622
Br  0.924  0.076  0.250
Br  0.357  0.788  0.000
Br  0.643  0.212  0.000
Br  0.076  0.924  0.750
Br  0.314  0.125  0.378
Br  0.788  0.357  0.500
Br  0.125  0.314  0.878

ΔE_f (raw) = -0.452 eV per atom
space group = C2/c
V = 571.8 Å³ per cell
calculated density = 4.2 g/cm3

---

Entry 5:
Below is a geometry-optimized TlTe2Br structure, with properties calculated at the PBE level.

a = 5.534 Å, b = 5.534 Å, c = 5.534 Å
α = 60.00°, β = 60.00°, γ = 60.00°
Atoms (fractional coordinates):
Tl  0.750  0.750  0.750
Te  0.000  0.000  0.000
Te  0.250  0.250  0.250
Br  0.500  0.500  0.500

ΔE_f (raw) = 0.025 eV per atom
space group = F-43m
V = 119.8 Å³ per cell
calculated density = 7.5 g/cm3

---

Entry 6:
Below is a geometry-optimized TlTeBr structure, with properties calculated at the PBE level.

a = 9.672 Å, b = 9.672 Å, c = 3.368 Å
α = 79.96°, β = 79.97°, γ = 20.05°
Atoms (fractional coordinates):
Tl  0.643  0.643  0.357
Te  0.322  0.322  0.678
Br  0.035  0.035  0.965

ΔE_f (raw) = -0.155 eV per atom
space group = I4mm
V = 106.3 Å³ per cell
calculated density = 6.4 g/cm3

---

Entry 7:
Below is a geometry-optimized Tl7Te4Br structure, with properties calculated at the PBE level.

a = 6.511 Å, b = 9.368 Å, c = 9.172 Å
α = 113.58°, β = 121.95°, γ = 81.25°
Atoms (fractional coordinates):
Tl  0.158  0.370  0.363
Tl  0.842  0.630  0.637
Tl  0.910  0.304  0.879
Tl  0.090  0.696  0.121
Tl  0.669  0.858  0.365
Tl  0.500  0.000  0.000
Tl  0.331  0.142  0.635
Te  0.464  0.583  0.888
Te  0.536  0.417  0.112
Te  0.214  0.767  0.536
Te  0.786  0.233  0.464
Br  0.000  0.000  0.000

ΔE_f (raw) = -0.323 eV per atom
space group = P-1
V = 433.8 Å³ per cell
calculated density = 7.7 g/cm3

---

Entry 8:
Below is a geometry-optimized TlTe2Br structure, with properties calculated at the PBE level.

a = 7.965 Å, b = 4.373 Å, c = 4.373 Å
α = 90.00°, β = 90.00°, γ = 90.00°
Atoms (fractional coordinates):
Tl  0.500  0.500  0.000
Te  0.000  0.000  0.000
Te  0.000  0.500  0.500
Br  0.500  0.000  0.500

ΔE_f (raw) = -0.259 eV per atom
space group = P4/mmm
V = 152.3 Å³ per cell
calculated density = 5.9 g/cm3

---

Entry 9:
Below is a geometry-optimized Tl3TeBr structure, with properties calculated at the PBE level.

a = 6.057 Å, b = 6.057 Å, c = 6.057 Å
α = 90.00°, β = 90.00°, γ = 90.00°
Atoms (fractional coordinates):
Tl  0.000  0.500  0.000
Tl  0.000  0.000  0.500
Tl  0.500  0.000  0.000
Te  0.500  0.500  0.500
Br  0.000  0.000  0.000

ΔE_f (raw) = -0.161 eV per atom
space group = Pm-3m
V = 222.2 Å³ per cell
calculated density = 6.1 g/cm3

---

Entry 10:
Below is a geometry-optimized Tl2Te2Br structure, with properties calculated at the PBE level.

a = 8.748 Å, b = 8.748 Å, c = 4.210 Å
α = 90.00°, β = 90.00°, γ = 90.00°
Atoms (fractional coordinates):
Tl  0.148  0.648  0.500
Tl  0.648  0.852  0.500
Tl  0.852  0.352  0.500
Tl  0.352  0.148  0.500
Te  0.341  0.841  0.000
Te  0.841  0.659  0.000
Te  0.659  0.159  0.000
Te  0.159  0.341  0.000
Br  0.000  0.000  0.000
Br  0.500  0.500  0.000

ΔE_f (raw) = -0.109 eV per atom
space group = P4/mbm
V = 322.2 Å³ per cell
calculated density = 7.7 g/cm3

---

Entry 11:
Below is a geometry-optimized Tl2TeBr4 structure, with properties calculated at the PBE level.

a = 6.070 Å, b = 6.070 Å, c = 8.860 Å
α = 69.97°, β = 69.97°, γ = 90.00°
Atoms (fractional coordinates):
Tl  0.622  0.622  0.757
Tl  0.378  0.378  0.243
Te  0.000  0.000  0.000
Br  0.822  0.822  0.356
Br  0.178  0.178  0.644
Br  0.000  0.500  0.000
Br  0.500  0.000  0.000

ΔE_f (raw) = -0.499 eV per atom
space group = I4/mmm
V = 285.6 Å³ per cell
calculated density = 5.0 g/cm3

---

Entry 12:
Below is a geometry-optimized Tl4TeBr structure, with properties calculated at the PBE level.

a = 6.564 Å, b = 6.564 Å, c = 6.564 Å
α = 60.00°, β = 60.00°, γ = 60.00°
Atoms (fractional coordinates):
Tl  0.877  0.374  0.374
Tl  0.374  0.374  0.877
Tl  0.374  0.877  0.374
Tl  0.374  0.374  0.374
Te  0.000  0.000  0.000
Br  0.750  0.750  0.750

ΔE_f (raw) = -0.151 eV per atom
space group = F-43m
V = 200.0 Å³ per cell
calculated density = 8.5 g/cm3

---

Entry 13:
Below is a geometry-optimized TlTeBr5 structure, with properties calculated at the PBE level.

a = 5.809 Å, b = 7.981 Å, c = 7.981 Å
α = 68.89°, β = 68.66°, γ = 68.66°
Atoms (fractional coordinates):
Tl  0.017  0.000  0.000
Te  0.525  0.500  0.500
Br  0.721  0.273  0.273
Br  0.971  0.500  0.500
Br  0.267  0.727  0.727
Br  0.514  0.198  0.802
Br  0.514  0.802  0.198

ΔE_f (raw) = -0.450 eV per atom
space group = Imm2
V = 309.8 Å³ per cell
calculated density = 3.9 g/cm3

---

Entry 14:
Below is a geometry-optimized Tl3TeBr2 structure, with properties calculated at the PBE level.

a = 6.354 Å, b = 9.602 Å, c = 8.277 Å
α = 106.87°, β = 112.57°, γ = 90.00°
Atoms (fractional coordinates):
Tl  0.501  0.250  0.000
Tl  0.499  0.750  0.000
Tl  0.164  0.082  0.329
Tl  0.835  0.418  0.671
Tl  0.165  0.582  0.329
Tl  0.836  0.918  0.671
Te  0.999  0.750  0.000
Te  0.001  0.250  0.000
Br  0.654  0.577  0.307
Br  0.653  0.077  0.307
Br  0.347  0.923  0.693
Br  0.346  0.423  0.693

ΔE_f (raw) = -0.578 eV per atom
space group = C2/c
V = 442.7 Å³ per cell
calculated density = 6.8 g/cm3

---

Entry 15:
Below is a geometry-optimized TlTeBr4 structure, with properties calculated at the PBE level.

a = 6.095 Å, b = 7.657 Å, c = 10.363 Å
α = 111.68°, β = 101.64°, γ = 90.00°
Atoms (fractional coordinates):
Tl  0.263  0.224  0.447
Tl  0.737  0.776  0.553
Te  0.655  0.439  0.879
Te  0.345  0.561  0.121
Br  0.811  0.295  0.589
Br  0.601  0.368  0.246
Br  0.000  0.251  0.000
Br  0.399  0.121  0.754
Br  0.189  0.705  0.411
Br  0.399  0.632  0.754
Br  0.000  0.749  0.000
Br  0.601  0.879  0.246

ΔE_f (raw) = -0.470 eV per atom
space group = C2/m
V = 438.7 Å³ per cell
calculated density = 4.9 g/cm3

---

Entry 16:
Below is a geometry-optimized TlTeBr structure, with properties calculated at the PBE level.

a = 4.200 Å, b = 4.212 Å, c = 13.389 Å
α = 90.00°, β = 99.02°, γ = 90.00°
Atoms (fractional coordinates):
Tl  0.886  0.750  0.771
Tl  0.114  0.250  0.229
Te  0.765  0.250  0.531
Te  0.235  0.750  0.469
Br  0.426  0.250  0.853
Br  0.574  0.750  0.147

ΔE_f (raw) = -0.454 eV per atom
space group = Cmcm
V = 233.9 Å³ per cell
calculated density = 5.8 g/cm3

---

Entry 17:
Below is a geometry-optimized TlTe2Br structure, with properties calculated at the PBE level.

a = 3.145 Å, b = 3.145 Å, c = 13.389 Å
α = 90.00°, β = 90.00°, γ = 92.29°
Atoms (fractional coordinates):
Tl  0.500  0.500  0.250
Te  0.000  0.000  0.032
Te  0.000  0.000  0.468
Br  0.500  0.500  0.750

ΔE_f (raw) = 0.054 eV per atom
space group = Cmmm
V = 132.3 Å³ per cell
calculated density = 6.8 g/cm3

---

Entry 18:
Below is a geometry-optimized Tl2TeBr4 structure, with properties calculated at the PBE level.

a = 7.840 Å, b = 7.840 Å, c = 7.052 Å
α = 123.77°, β = 123.77°, γ = 90.00°
Atoms (fractional coordinates):
Tl  0.750  0.250  0.500
Tl  0.250  0.750  0.500
Te  0.500  0.500  0.000
Br  0.751  0.249  0.000
Br  0.249  0.751  0.000
Br  0.751  0.751  0.000
Br  0.249  0.249  0.000

ΔE_f (raw) = -0.599 eV per atom
space group = I4/mmm
V = 267.9 Å³ per cell
calculated density = 5.3 g/cm3

---

Entry 19:
Below is a geometry-optimized TlTe2Br structure, with properties calculated at the PBE level.

a = 4.859 Å, b = 4.859 Å, c = 6.538 Å
α = 90.00°, β = 90.00°, γ = 90.00°
Site moments in Bohr magnetons follow the coordinates.
Atoms (fractional coordinates):
Tl  0.500  0.500  0.250  0.00
Te  0.000  0.000  0.047  0.34
Te  0.000  0.000  0.453  0.34
Br  0.500  0.500  0.750  0.15

ΔE_f (raw) = -0.012 eV per atom
space group = P4/mmm
V = 154.4 Å³ per cell
calculated density = 5.8 g/cm3

---

Entry 20:
Below is a geometry-optimized Tl3TeBr structure, with properties calculated at the PBE level.

a = 4.636 Å, b = 6.464 Å, c = 13.387 Å
α = 90.00°, β = 89.99°, γ = 111.02°
Atoms (fractional coordinates):
Tl  0.036  0.073  0.750
Tl  0.964  0.927  0.250
Tl  0.306  0.613  0.583
Tl  0.694  0.387  0.417
Tl  0.694  0.387  0.083
Tl  0.306  0.613  0.917
Te  0.263  0.525  0.250
Te  0.737  0.475  0.750
Br  0.000  0.000  0.500
Br  0.000  0.000  0.000

ΔE_f (raw) = -0.460 eV per atom
space group = Cmcm
V = 374.5 Å³ per cell
calculated density = 7.3 g/cm3

---

Entry 21:
Below is a geometry-optimized TlTeBr structure, with properties calculated at the PBE level.

a = 4.277 Å, b = 9.658 Å, c = 6.514 Å
α = 93.37°, β = 109.16°, γ = 89.99°
Atoms (fractional coordinates):
Te  0.276  0.404  0.051
Te  0.724  0.596  0.949
Tl  0.000  0.500  0.500
Tl  0.500  0.000  0.500
Br  0.870  0.179  0.240
Br  0.130  0.821  0.760

ΔE_f (raw) = -0.426 eV per atom
space group = C2/m
V = 253.7 Å³ per cell
calculated density = 5.4 g/cm3

---

Entry 22:
Below is a geometry-optimized Tl10Te3Br3 structure, with properties calculated at the PBE level.

a = 7.023 Å, b = 9.754 Å, c = 9.754 Å
α = 120.00°, β = 90.00°, γ = 90.00°
Atoms (fractional coordinates):
Tl  0.251  0.667  0.333
Tl  0.251  0.333  0.667
Tl  0.749  0.333  0.667
Tl  0.749  0.667  0.333
Tl  0.500  0.000  0.757
Tl  0.500  0.757  0.000
Tl  0.500  0.243  0.243
Tl  0.000  0.000  0.358
Tl  0.000  0.358  0.000
Tl  0.000  0.642  0.642
Te  0.500  0.000  0.422
Te  0.500  0.422  0.000
Te  0.500  0.578  0.578
Br  0.000  0.000  0.719
Br  0.000  0.719  0.000
Br  0.000  0.281  0.281

ΔE_f (raw) = -0.443 eV per atom
space group = P-62m
V = 578.7 Å³ per cell
calculated density = 7.7 g/cm3

---

Entry 23:
Below is a geometry-optimized Tl3TeBr7 structure, with properties calculated at the PBE level.

a = 7.780 Å, b = 7.780 Å, c = 8.606 Å
α = 68.07°, β = 68.07°, γ = 82.30°
Atoms (fractional coordinates):
Tl  0.772  0.213  0.492
Tl  0.511  0.511  0.937
Tl  0.213  0.772  0.492
Te  0.015  0.015  0.969
Br  0.178  0.178  0.110
Br  0.676  0.065  0.199
Br  0.970  0.353  0.722
Br  0.065  0.676  0.199
Br  0.531  0.531  0.572
Br  0.353  0.970  0.722
Br  0.841  0.841  0.838

ΔE_f (raw) = -0.622 eV per atom
space group = Cm
V = 448.3 Å³ per cell
calculated density = 4.8 g/cm3

---

Entry 24:
Below is a geometry-optimized TlTeBr structure, with properties calculated at the PBE level.

a = 4.402 Å, b = 4.402 Å, c = 6.395 Å
α = 90.00°, β = 90.00°, γ = 120.00°
Atoms (fractional coordinates):
Tl  0.333  0.667  0.646
Te  0.667  0.333  0.415
Br  0.000  0.000  0.938

ΔE_f (raw) = -0.180 eV per atom
space group = P3m1
V = 107.3 Å³ per cell
calculated density = 6.4 g/cm3

---

Entry 25:
Below is a geometry-optimized Tl3TeBr structure, with properties calculated at the PBE level.

a = 6.537 Å, b = 6.537 Å, c = 6.537 Å
α = 90.00°, β = 90.00°, γ = 90.00°
Atoms (fractional coordinates):
Tl  0.000  0.500  0.000
Tl  0.000  0.000  0.500
Tl  0.500  0.000  0.000
Te  0.000  0.000  0.000
Br  0.500  0.500  0.500

ΔE_f (raw) = -0.148 eV per atom
space group = Pm-3m
V = 279.3 Å³ per cell
calculated density = 4.9 g/cm3